1.
PBE Ac3Sm2Ir3, optimized geometry; M_tot = 0.000 μB per formula unit; formation energy = -0.524 eV/atom; D(E_F) = 0.5753 states/eV per atom; energy = -6.57 eV/atom; space group = Cm, No. 8
1.0
5.7839 0.0000 0.0000
-2.8919 6.7941 0.0769
0.0000 0.3013 14.3889
Sm Ir Ac
4 6 6
Cartesian
0.0000 4.3733 6.3317
2.8919 6.0655 8.8491
0.0000 4.4489 0.9841
2.8919 2.8199 13.5175
2.8919 4.1737 10.9040
0.0000 2.9815 3.6377
2.8919 4.7500 6.4273
0.0000 2.4704 13.5865
0.0000 2.0233 8.1203
2.8919 4.8346 0.8347
0.0000 0.7591 1.6991
2.8919 3.5178 3.6066
0.0000 0.7189 5.5052
2.8919 2.3039 8.3457
2.8919 6.5359 12.6386
0.0000 3.7166 10.7976

***

2.
PBE Ac8SmIr6, optimized geometry; M_tot = 0.000 μB per formula unit; formation energy = -0.566 eV/atom; D(E_F) = 0.5934 states/eV per atom; energy = -6.62 eV/atom; space group = R-3, No. 148
1.0
1.7840 6.9859 2.3019
-0.8718 1.9282 7.2668
9.7369 -0.0769 5.1301
Ir Ac Sm
6 8 1
Cartesian
1.3416 3.6798 8.3534
7.8210 1.0793 7.1650
2.5491 4.8088 4.2571
8.1000 4.0284 10.4417
2.8281 7.7580 7.5338
9.3075 5.1574 6.3454
0.3046 2.9712 3.1897
10.3445 5.8660 11.5091
4.4980 6.6613 5.3550
3.3201 5.6018 9.4164
6.1511 2.1759 9.3438
7.3290 3.2354 5.2824
7.6252 6.1862 8.4777
3.0239 2.6510 6.2211
0.0000 0.0000 0.0000

***

3.
PBE Ac2SmIr2, optimized geometry; M_tot = 0.000 μB per formula unit; formation energy = -0.585 eV/atom; D(E_F) = 0.4979 states/eV per atom; energy = -6.72 eV/atom; space group = C2/m, No. 12
1.0
-3.4689 2.4021 -0.9779
-2.0554 -4.3781 -3.4629
-0.2995 -1.4508 7.0905
Ac Ir Sm
2 2 1
Cartesian
-3.8707 -1.8725 -0.4605
-1.9531 -1.5543 3.1102
-2.6482 0.4714 0.9599
-3.1757 -3.8982 1.6898
0.0000 0.0000 0.0000

***

4.
PBE Ac3SmIr, optimized geometry; M_tot = 0.000 μB per formula unit; formation energy = -0.322 eV/atom; D(E_F) = 1.2122 states/eV per atom; energy = -5.50 eV/atom; space group = C2/m, No. 12
1.0
-4.0548 -6.1278 -3.0228
4.6396 -6.3562 1.0957
-2.3853 -7.1979 4.6364
Ac Sm Ir
6 2 2
Cartesian
-1.8150 -10.8651 -1.3152
-1.4553 -12.1874 2.3963
-0.3452 -7.4944 0.3130
-3.4996 -8.7244 2.3599
1.6991 -10.9574 0.3494
0.0145 -8.8167 4.0245
-0.2707 -14.4396 -0.2295
-1.5298 -5.2423 2.9388
-1.5405 -15.4050 2.3976
-0.2600 -4.2768 0.3117

***

5.
PBE Ac2SmIr9, optimized geometry; M_tot = 0.000 μB per formula unit; formation energy = -0.439 eV/atom; D(E_F) = 0.8329 states/eV per atom; energy = -8.16 eV/atom; space group = R-3m, No. 166
1.0
-3.8389 2.1893 3.1512
-3.1740 -3.1962 3.0283
3.5760 0.2392 8.8648
Ac Ir Sm
2 9 1
Cartesian
1.1049 -0.0010 6.0212
-4.5419 -0.7667 9.0230
-1.7185 -0.3838 7.5221
-4.0240 0.7068 6.2568
0.5870 -1.4745 8.7875
-2.1342 -0.3709 4.7055
-1.1310 -0.4351 12.9480
0.2597 1.1766 8.8479
-1.3028 -0.3968 10.3387
-2.3060 -0.3325 2.0962
-3.6967 -1.9442 6.1963
0.0000 0.0000 0.0000

***

6.
PBE Ac2SmSn4Ir3, optimized geometry; M_tot = 0.000 μB per formula unit; formation energy = -0.582 eV/atom; D(E_F) = 0.5403 states/eV per atom; energy = -6.14 eV/atom; space group = P-4m2, No. 115
1.0
4.5504 0.0000 0.0000
0.0000 4.5504 0.0000
0.0000 0.0000 12.1966
Ac Sn Sm Ir
2 4 1 3
Cartesian
2.2752 0.0000 2.7874
0.0000 2.2752 9.4093
0.0000 0.0000 0.0000
2.2752 0.0000 8.0733
0.0000 2.2752 4.1233
2.2752 2.2752 0.0000
2.2752 2.2752 6.0983
0.0000 2.2752 1.4768
0.0000 0.0000 6.0983
2.2752 0.0000 10.7199

***

7.
PBE AcSmTlIr, optimized geometry; M_tot = 0.000 μB per formula unit; formation energy = -0.297 eV/atom; D(E_F) = 0.9990 states/eV per atom; energy = -5.31 eV/atom; space group = F-43m, No. 216
1.0
5.3794 0.0000 0.0000
2.6897 4.6587 0.0000
2.6897 1.5529 4.3922
Sm Ac Ir Tl
1 1 1 1
Cartesian
2.6897 1.5529 1.0981
8.0691 4.6587 3.2942
0.0000 0.0000 0.0000
5.3794 3.1058 2.1961

***

8.
PBE Ac3Sn2Ir, optimized geometry; M_tot = 0.000 μB per formula unit; formation energy = -0.706 eV/atom; D(E_F) = 0.4080 states/eV per atom; energy = -5.57 eV/atom; space group = Pnma, No. 62
1.0
-1.2416 2.8755 -3.4569
-12.3010 -1.3898 3.2620
1.0216 10.3985 8.2827
Ac Ir Sn
12 4 8
Cartesian
-7.0089 7.7991 4.2837
-5.5121 4.0851 3.8041
-9.3107 7.2625 7.8115
-4.8277 0.7624 0.7944
-8.7703 2.1821 3.3913
-12.5583 2.0306 1.4785
-3.7508 9.7021 4.6965
0.0372 9.8536 6.6093
-11.1983 5.5842 3.9460
-1.3228 6.3000 4.1418
-7.6934 11.1217 7.2934
-3.2104 4.6216 0.2764
-8.3358 5.1396 2.5481
-4.1853 6.7445 5.5397
-10.7085 10.0131 7.4541
-1.8126 1.8711 0.6337
-9.2475 9.8838 9.9691
-8.3140 4.8477 5.4448
-12.4554 8.0071 6.4129
-5.5729 8.3964 7.4121
-0.0657 3.8771 1.6749
-6.9482 3.4878 0.6757
-4.2070 7.0365 2.6430
-3.2735 2.0004 -1.8813

***

9.
PBE Ac3SnIr2, optimized geometry; M_tot = 0.000 μB per formula unit; formation energy = -0.546 eV/atom; D(E_F) = 0.5242 states/eV per atom; energy = -6.22 eV/atom; space group = R-3c, No. 167
1.0
-2.4749 -3.5268 -6.7482
4.3157 -6.1085 -2.8572
-3.0969 -7.3650 0.5181
Ir Ac Sn
4 6 2
Cartesian
-0.4435 -6.0024 -3.2086
-0.8126 -10.9978 -5.8788
-1.0716 -14.5026 -7.7522
-0.1845 -2.4977 -1.3351
-1.2861 -11.2549 -2.7212
1.7111 -8.1232 -2.1501
-2.9672 -8.8770 -6.9372
-3.3113 -7.3817 -2.8430
2.0552 -9.6185 -6.2444
0.0300 -5.7454 -6.3661
0.0000 0.0000 0.0000
-0.6281 -8.5001 -4.5437

***

10.
PBE Ac3Sn3Ir, optimized geometry; M_tot = 0.000 μB per formula unit; formation energy = -0.261 eV/atom; D(E_F) = 1.0841 states/eV per atom; energy = -5.00 eV/atom; space group = P6_3/m, No. 176
1.0
-0.9487 -5.1414 -4.0108
-4.1994 -4.7530 7.0860
-5.1938 5.4736 -5.7880
Ac Sn Ir
6 6 2
Cartesian
-6.1368 -6.4280 1.5722
-3.6929 -0.5286 -1.1553
-7.4006 0.8596 -2.0578
-2.9414 -5.2803 -0.6550
-6.6490 -3.8921 -1.5575
-4.2051 2.0073 -4.2850
-2.2545 -2.5068 1.0403
-3.7445 -3.1487 -3.1974
-4.8897 -0.3113 -6.5638
-6.5974 -1.2720 0.4846
-8.0875 -1.9139 -3.7531
-5.4523 -4.1094 3.8510
-4.7681 -2.6294 1.7920
-5.5739 -1.7913 -4.5048

***

11.
PBE Ac3Sn2Ir3, optimized geometry; M_tot = 0.000 μB per formula unit; formation energy = -0.626 eV/atom; D(E_F) = 0.8282 states/eV per atom; energy = -6.49 eV/atom; space group = Cmcm, No. 63
1.0
-1.4733 -4.0366 -1.2256
3.3116 2.7816 -4.9969
12.7966 -6.1979 5.0305
Ir Sn Ac
6 4 6
Cartesian
5.7357 -4.7507 0.6061
14.4147 -5.3736 0.3702
4.7985 -1.0754 -2.2266
0.2201 -2.0793 -1.5621
9.8364 -6.3775 1.0346
8.8992 -2.7022 -1.7981
6.5059 -2.2677 -0.3521
8.1290 -5.1852 -0.8398
2.1553 -0.1605 -2.0624
12.4796 -7.2924 0.8704
2.9474 -2.0786 -4.8430
11.6874 -5.3743 3.6511
3.2367 -3.3383 -1.0419
8.2411 -3.7051 2.2963
6.3937 -3.7478 -3.4882
11.3981 -4.1146 -0.1501

***

12.
PBE AcSn3Ir2, optimized geometry; M_tot = 0.000 μB per formula unit; formation energy = -0.466 eV/atom; D(E_F) = 0.4858 states/eV per atom; energy = -6.11 eV/atom; space group = C2/m, No. 12
1.0
4.4955 0.0000 0.0000
-2.2477 8.4688 -2.7120
0.0000 0.1521 10.9554
Sn Ir Ac
9 6 3
Cartesian
2.2477 4.8127 5.2135
2.2477 7.8256 4.6513
2.2477 0.0761 5.4777
2.2477 2.2492 1.3696
0.0000 6.3717 6.8738
0.0000 0.7953 3.5920
2.2477 2.9257 9.4546
0.0000 5.6952 -1.2113
0.0000 3.8082 3.0298
0.0000 8.2210 -0.1468
0.0000 6.1918 4.1843
2.2477 0.3998 8.3901
2.2477 5.2233 7.9888
0.0000 3.3976 0.2546
2.2477 2.4291 4.0591
0.0000 2.7274 6.8567
2.2477 5.8935 1.3866
0.0000 0.0000 0.0000